1.
Below is crystalline DySnSe2O at its relaxed geometry, with properties calculated at the PBE level.

a = 3.8945 Å, b = 3.8945 Å, c = 15.5151 Å
α = 90.00°, β = 90.00°, γ = 90.00°
Closest atoms and distances in Å follow each position.
Space group P4/nmm (No. 129, origin choice 2)
Unique sites:
Dy  0.2500  0.2500  0.0731 (multiplicity 2)  4 O 2.25
Sn  0.2500  0.2500  0.6587 (multiplicity 2)  5 Se 2.57-2.86
Se  0.2500  0.2500  0.3909 (multiplicity 2)  4 Sn 2.86
Se  0.2500  0.2500  0.8246 (multiplicity 2)  1 Sn 2.57
O  0.2500  0.7500  0.0000 (multiplicity 2)  4 Dy 2.25

The crystal system is tetragonal. As for the magnetic moment: 0.0 μB/cell. Its uncorrected formation energy is -1.72 eV per atom.

2.
Below is crystalline TbDySeO2 at its relaxed geometry, with properties calculated at the PBE level.

a = 3.8437 Å, b = 3.8437 Å, c = 12.1850 Å
α = 90.00°, β = 90.00°, γ = 90.00°
Closest atoms and distances in Å follow each position.
Space group I4mm (No. 107)
Unique sites:
Tb  0.0000  0.0000  0.0000 (multiplicity 2)  4 O 2.24
Dy  0.0000  0.0000  0.6871 (multiplicity 2)  4 O 2.23
Se  0.0000  0.0000  0.3440 (multiplicity 2)  4 Tb 3.32, 4 Dy 3.32, 8 O 3.59-3.61
O  0.0000  0.5000  0.0946 (multiplicity 4)  2 Dy 2.23, 2 Tb 2.24

The crystal system is tetragonal. As for the magnetic moment: 0.0 μB/cell. Its uncorrected formation energy is -3.08 eV per atom.

3.
Below is crystalline DyTl2Se2O6 at its relaxed geometry, with properties calculated at the PBE level.

a = 9.6507 Å, b = 5.9228 Å, c = 7.5317 Å
α = 90.00°, β = 104.92°, γ = 90.00°
Closest atoms and distances in Å follow each position.
Space group C2/m (No. 12)
Unique sites:
Dy  0.0000  0.0000  0.0000 (multiplicity 2)  6 O 2.26-2.29
Tl  0.2281  0.0000  0.6029 (multiplicity 4)  4 O 2.99-3.28
Se  0.1084  0.5000  0.7452 (multiplicity 4)  3 O 1.71-1.74
O  0.0049  0.2745  0.7871 (multiplicity 8)  1 Se 1.74
O  0.2420  0.0000  0.0743 (multiplicity 4)  1 Se 1.71

The crystal system is monoclinic. As for the magnetic moment: 0.0 μB/cell. Its uncorrected formation energy is -1.33 eV per atom.

For reference, electronic total energy by record: -5.82 -7.60 -5.52 eV per atom.